Below is crystalline LiLaZr2 at its relaxed geometry, with properties calculated at the PBE level.

Space group: No. 6

a = 5.1509 Å, b = 3.1596 Å, c = 6.2062 Å
α = 89.91°, β = 90.00°, γ = 90.00°
Last column: nearest neighbours and their distance in Å.
Element x y z (fractional)
La 0.0000 0.3763 0.5299  2 La 3.16, 4 Li 3.31-3.32, 6 Zr 3.36-3.54
Li 0.5000 0.8737 0.7497  4 Zr 3.11-3.14, 2 Li 3.16, 4 La 3.31-3.32
Zr 0.0000 0.8757 0.0392  2 Li 3.14, 6 Zr 3.15-3.16, 2 La 3.43
Zr 0.5000 0.3742 0.1812  2 Li 3.11, 6 Zr 3.15-3.16, 2 La 3.36

***

Below is crystalline LiLa2Zr at its relaxed geometry, with properties calculated at the PBE level.

Space group: No. 99

a = 3.5690 Å, b = 3.5690 Å, c = 8.7288 Å
α = 90.00°, β = 90.00°, γ = 90.00°
Last column: nearest neighbours and their distance in Å.
Element x y z (fractional)
La 0.0000 0.0000 0.9730  4 Zr 3.40, 8 La 3.57-3.72
La 0.5000 0.5000 0.2866  4 Li 3.29, 4 La 3.57
Li 0.0000 0.0000 0.5287  4 Zr 2.99, 4 La 3.29
Zr 0.5000 0.5000 0.7117  4 Li 2.99

***

Number 1: formation energy from the elements 242 meV/atom. Number 2: formation energy from the elements 186 meV/atom.